Density functional theory data (PBE) for Ir8Ru5Pt after structural relaxation.

Cell lengths 6.565, 6.565, 6.565 Å; angles 108.08, 112.30, 108.08 degrees
Positions (direct):
Ir 0.127 0.684 0.076
Ir 0.924 0.051 0.608
Ir 0.762 0.273 0.345
Ir 0.655 0.417 0.927
Ir 0.511 0.583 0.238
Ir 0.557 0.949 0.873
Ir 0.392 0.316 0.443
Ir 0.073 0.727 0.489
Ru 0.016 0.285 0.084
Ru 0.916 0.933 0.201
Ru 0.799 0.715 0.732
Ru 0.500 0.000 0.500
Ru 0.268 0.067 0.984
Pt 0.250 0.500 0.750

Values from the calculation:
E_form = 0.387 eV/atom